# 1
VASP calculation (GGA-PBE) on a geometry-optimized ZrHgS2 structure.

```
ZrHgS2
1.0
9.427 0.000 -1.219
3.667 3.477 -3.786
-3.667 3.477 3.786
S Hg Zr
4 2 2
Direct
0.331 0.162 0.122
0.169 0.622 0.662
0.669 0.838 0.878
0.831 0.378 0.338
0.750 0.257 0.757
0.250 0.743 0.243
0.750 0.827 0.327
0.250 0.173 0.673
```

Output
As for the calculated volume: 217.07 Å³ per cell. As for the crystal system: monoclinic. As for the calculated total energy: -5.186 eV/atom. Its uncorrected formation energy is -0.910 eV per atom.

=====

# 2
VASP calculation (GGA-PBE) on a geometry-optimized La3Sm3Ag2 structure.

```
La3Sm3Ag2
1.0
5.243 0.000 0.000
-2.622 5.989 0.000
0.000 0.000 16.073
La Sm Ag
6 6 4
Direct
0.956 0.912 0.389
0.044 0.088 0.889
0.956 0.912 0.111
0.044 0.088 0.611
0.691 0.382 0.250
0.309 0.618 0.750
0.642 0.284 0.470
0.358 0.716 0.970
0.642 0.284 0.030
0.358 0.716 0.530
0.414 0.827 0.250
0.586 0.173 0.750
0.776 0.551 0.876
0.224 0.449 0.376
0.776 0.551 0.624
0.224 0.449 0.124
```

Output
As for the calculated volume: 504.69 Å³ per cell. The formation energy from the elements is -0.07 eV per atom. As for the crystal system: orthorhombic. As for the calculated total energy: -4.400 eV/atom.

=====

# 3
VASP calculation (GGA-PBE) on a geometry-optimized Zr2AlBi structure.

```
Zr2AlBi
1.0
3.892 0.000 0.000
1.946 3.371 0.000
1.946 1.124 7.298
Bi Zr Al
1 2 1
Direct
0.500 0.500 0.500
0.258 0.258 0.226
0.742 0.742 0.774
0.000 0.000 0.000
```

Output
As for the calculated volume: 95.74 Å³ per cell. The formation energy from the elements is -0.18 eV per atom. As for the crystal system: trigonal. As for the calculated total energy: -6.356 eV/atom.

=====

# 4
VASP calculation (GGA-PBE) on a geometry-optimized Y3ZnNi structure.

```
Y3ZnNi
1.0
5.401 -0.188 2.204
1.813 5.091 2.204
-0.033 -0.022 8.684
Y Zn Ni
6 2 2
Direct
0.314 0.314 0.878
0.686 0.686 0.122
0.032 0.032 0.758
0.968 0.968 0.242
0.706 0.706 0.681
0.294 0.294 0.319
0.699 0.301 0.500
0.301 0.699 0.500
0.297 0.703 0.000
0.703 0.297 0.000
```

Output
As for the calculated volume: 242.25 Å³ per cell. The formation energy from the elements is -0.26 eV per atom. As for the crystal system: monoclinic. As for the calculated total energy: -5.550 eV/atom.

=====

# 5
VASP calculation (GGA-PBE) on a geometry-optimized Al2PtBr structure.

```
Al2PtBr
1.0
6.141 0.000 0.000
0.000 6.141 0.000
3.070 3.070 5.679
Br Pt Al
2 2 4
Direct
0.500 0.500 0.000
0.250 0.750 0.500
0.000 0.000 0.000
0.750 0.250 0.500
0.691 0.125 0.250
0.059 0.625 0.250
0.375 0.309 0.750
0.875 0.941 0.750
```

Output
As for the calculated volume: 214.15 Å³ per cell. As for the crystal system: tetragonal. As for the calculated total energy: -4.119 eV/atom. Its uncorrected formation energy is -0.319 eV per atom.

=====

# 6
VASP calculation (GGA-PBE) on a geometry-optimized YMn3P structure.

```
YMn3P
1.0
4.315 0.000 0.000
0.000 4.315 0.000
0.000 0.000 4.315
Y P Mn
1 1 3
Direct
0.500 0.500 0.500
0.000 0.000 0.000
0.000 0.500 0.000
0.000 0.000 0.500
0.500 0.000 0.000
```

Output
As for the calculated volume: 80.33 Å³ per cell. The formation energy from the elements is -0.02 eV per atom. As for the crystal system: cubic. As for the calculated total energy: -7.899 eV/atom.

=====

# 7
VASP calculation (GGA-PBE) on a geometry-optimized Li12Zn7Cu structure.

```
Li12Zn7Cu
1.0
6.800 0.202 -1.495
-1.900 6.532 -1.495
0.147 0.202 6.961
Li Zn Cu
12 7 1
Direct
0.764 0.235 0.500
0.500 0.236 0.765
0.921 0.669 0.670
0.330 0.079 0.331
0.765 0.500 0.236
0.331 0.330 0.079
0.669 0.670 0.921
0.235 0.500 0.764
0.670 0.921 0.669
0.079 0.331 0.330
0.500 0.764 0.235
0.236 0.765 0.500
0.319 0.908 0.908
0.092 0.681 0.092
0.092 0.092 0.681
0.500 0.500 0.500
0.908 0.908 0.319
0.908 0.319 0.908
0.681 0.092 0.092
0.000 0.000 0.000
```

Output
As for the calculated volume: 315.88 Å³ per cell. The formation energy from the elements is -0.11 eV per atom. As for the crystal system: trigonal. As for the calculated total energy: -1.913 eV/atom.

=====

# 8
VASP calculation (GGA-PBE) on a geometry-optimized Pr4Os structure.

```
Pr4Os
1.0
5.670 0.000 0.000
0.000 5.670 0.000
0.000 0.000 5.670
Pr Os
4 1
Direct
0.000 0.000 0.000
0.500 0.000 0.500
0.000 0.500 0.500
0.500 0.500 0.000
0.500 0.500 0.500
```

Output
As for the calculated volume: 182.30 Å³ per cell. The formation energy from the elements is 0.15 eV per atom. As for the crystal system: cubic. As for the calculated total energy: -5.924 eV/atom.

=====

# 9
VASP calculation (GGA-PBE) on a geometry-optimized CrSb2Cl structure.

```
CrSb2Cl
1.0
-1.578 3.517 -2.120
0.237 1.355 -4.178
-6.179 -5.610 0.446
Sb Cl Cr
2 1 1
Direct
0.898 0.898 0.084
0.602 0.602 0.416
0.750 0.750 0.750
0.250 0.250 0.250
```

Output
As for the calculated volume: 111.52 Å³ per cell. As for the crystal system: monoclinic. As for the calculated total energy: -4.924 eV/atom. Its uncorrected formation energy is 0.005 eV per atom.

=====

# 10
VASP calculation (GGA-PBE) on a geometry-optimized PaTlP2 structure.

```
PaTlP2
1.0
4.124 0.000 0.000
2.062 3.572 0.000
2.062 1.191 7.387
P Tl Pa
2 1 1
Direct
0.271 0.271 0.188
0.729 0.729 0.812
0.500 0.500 0.500
0.000 0.000 0.000
```

Output
As for the calculated volume: 108.81 Å³ per cell. The formation energy from the elements is -0.58 eV per atom. As for the crystal system: trigonal. As for the calculated total energy: -6.251 eV/atom.

=====

# 11
VASP calculation (GGA-PBE) on a geometry-optimized BAuBr2 structure.

```
BAuBr2
1.0
1.867 0.000 10.216
-0.933 1.617 10.216
-0.933 -1.617 10.216
B Au Br
1 1 2
Direct
0.500 0.500 0.500
0.000 0.000 0.000
0.879 0.879 0.879
0.121 0.121 0.121
```

Output
As for the calculated volume: 92.49 Å³ per cell. As for the crystal system: trigonal. As for the calculated total energy: -2.517 eV/atom. Its uncorrected formation energy is 0.809 eV per atom.

=====

# 12
VASP calculation (GGA-PBE) on a geometry-optimized VRh structure.

```
VRh
1.0
-3.774 4.498 -4.088
-2.542 -6.536 1.416
-1.908 1.475 3.384
V Rh
6 6
Direct
0.794 0.063 0.250
0.730 0.794 0.750
0.937 0.730 0.250
0.206 0.937 0.750
0.270 0.206 0.250
0.063 0.270 0.750
0.112 0.469 0.250
0.644 0.112 0.750
0.531 0.644 0.250
0.888 0.531 0.750
0.356 0.888 0.250
0.469 0.356 0.750
```

Output
As for the calculated volume: 184.18 Å³ per cell. The formation energy from the elements is 0.00 eV per atom. As for the crystal system: hexagonal. As for the calculated total energy: -8.230 eV/atom.

=====

> The lowest calculated volume belongs to which entry?

YMn3P

=====

> Which formula does entry 10 have?

PaTlP2